A geometry-optimized CdPBr structure, computed with GGA-PBEsol.

The uncorrected energy comes out at -2.0263 eV/atom. The raw formation energy comes out at 0.927 eV per atom.

It has space group F-43m (No. 216), with a = 6.668 Å, b = 6.668 Å, c = 6.668 Å, α = 90.00°, β = 90.00° and γ = 90.00°. The asymmetric unit holds Cd at (0.000, 0.000, 0.000), P at (0.000, 0.000, 0.500) and Br at (0.250, 0.250, 0.250).